Material: SmDy2Al
Method: DFT, PBE
State: optimized geometry

Properties
Crystal system: trigonal
Energy in eV per atom: -4.4844
E_form in eV per atom: -0.07
M_tot in Bohr magnetons per cell: 0.00
DOS(E_F) in states/eV per cell: 14.5
Calculated volume in A^3/atom: 29.24

Cell: 3.5880 3.5880 31.4681 Å, 90.00 90.00 120.00°
Space group R3m (No. 160, hexagonal axes)
Symmetry-distinct sites (fractional):
Sm: 0.0000 0.0000 0.0000 (multiplicity 3)
Dy: 0.0000 0.0000 0.2387 (multiplicity 3)
Dy: 0.0000 0.0000 0.4283 (multiplicity 3)
Al: 0.0000 0.0000 0.8339 (multiplicity 3)



Material: Pu2PtCl
Method: DFT, PBE
State: optimized geometry

Properties
Crystal system: tetragonal
Energy in eV per atom: -10.0466
ΔE_f (raw) in eV per formula unit: -3.6
M_tot in Bohr magnetons per cell: 11.90
DOS(E_F) in states/eV per cell: 16.6
Calculated volume in A^3/atom: 22.95

Cell: 3.411 3.411 7.888 Å, 90.00 90.00 90.00°
Space group P4/mmm (No. 123)
Symmetry-distinct sites (fractional):
Pu: 0.000 0.000 0.227 (multiplicity 2)
Pt: 0.500 0.500 0.000 (multiplicity 1)
Cl: 0.500 0.500 0.500 (multiplicity 1)



Material: Nb3CdP
Method: DFT, PBE
State: optimized geometry

Properties
Crystal system: cubic
Energy in eV per atom: -7.1097
E_form in eV per atom: 0.20
M_tot in Bohr magnetons per cell: 0.00
DOS(E_F) in states/eV per cell: 9.4
Calculated volume in A^3/atom: 20.23

Cell: 4.660 4.660 4.660 Å, 90.00 90.00 90.00°
Space group Pm-3m (No. 221)
Symmetry-distinct sites (fractional):
Nb: 0.000 0.000 0.500 (multiplicity 3)
Cd: 0.500 0.500 0.500 (multiplicity 1)
P: 0.000 0.000 0.000 (multiplicity 1)



Repeat the first record exactly.
Material: SmDy2Al
Method: DFT, PBE
State: optimized geometry

Properties
Crystal system: trigonal
Energy in eV per atom: -4.4844
E_form in eV per atom: -0.07
M_tot in Bohr magnetons per cell: 0.00
DOS(E_F) in states/eV per cell: 14.5
Calculated volume in A^3/atom: 29.24

Cell: 3.5880 3.5880 31.4681 Å, 90.00 90.00 120.00°
Space group R3m (No. 160, hexagonal axes)
Symmetry-distinct sites (fractional):
Sm: 0.0000 0.0000 0.0000 (multiplicity 3)
Dy: 0.0000 0.0000 0.2387 (multiplicity 3)
Dy: 0.0000 0.0000 0.4283 (multiplicity 3)
Al: 0.0000 0.0000 0.8339 (multiplicity 3)



Question: Which formula does entry 1 have?
Answer: SmDy2Al



Question: Number 1 is which compound?
Answer: SmDy2Al